Entry 1:
Material: PmLuAlGe
Method: DFT, PBE
State: optimized geometry

Structure (CIF):
```
data_PmLuAlGe
_symmetry_space_group_name_H-M 'F -4 3 m'
_symmetry_Int_Tables_number 216
_symmetry_space_group_name_Hall 'F -4 2 3'
_cell_length_a 7.222
_cell_length_b 7.222
_cell_length_c 7.222
_cell_angle_alpha 90.00
_cell_angle_beta 90.00
_cell_angle_gamma 90.00
loop_
_atom_site_label
_atom_site_fract_x
_atom_site_fract_y
_atom_site_fract_z
Pm1 0.000 0.000 0.000
Lu1 0.000 0.000 0.500
Al1 0.250 0.250 0.250
Ge1 0.250 0.250 0.750
```

Output
The crystal system is cubic. As for the formation energy: -0.42 eV per atom. For the total magnetization, the calculation gives 0.00 μB/cell. The energy comes out at -4.828 eV per atom.

=====

Entry 2:
Material: Sr2SnHg4
Method: DFT, PBE
State: optimized geometry

Structure (CIF):
```
data_Sr2SnHg4
_symmetry_space_group_name_H-M 'P 1 21/m 1'
_symmetry_Int_Tables_number 11
_cell_length_a 6.550
_cell_length_b 6.619
_cell_length_c 9.787
_cell_angle_alpha 90.00
_cell_angle_beta 104.46
_cell_angle_gamma 90.00
loop_
_symmetry_equiv_pos_as_xyz
'x,y,z'
'-x,-y,-z'
'-x,y+1/2,-z'
'x,-y+1/2,z'
loop_
_atom_site_label
_atom_site_fract_x
_atom_site_fract_y
_atom_site_fract_z
Sr1 0.136 0.250 0.411
Sr2 0.295 0.750 0.019
Sn1 0.099 0.250 0.787
Hg1 0.219 0.250 0.101
Hg2 0.321 0.750 0.414
Hg3 0.398 0.527 0.704
```

Output
The crystal system is monoclinic. As for the formation energy: -0.41 eV per atom. For the total magnetization, the calculation gives 0.00 μB/cell. The energy comes out at -1.635 eV per atom.

=====

Entry 3:
Material: SbAsHI2
Method: DFT, PBE
State: optimized geometry

Structure (CIF):
```
data_SbAsHI2
_symmetry_space_group_name_H-M 'P 4/m m m'
_symmetry_Int_Tables_number 123
_symmetry_space_group_name_Hall '-P 4 2'
_cell_length_a 5.580
_cell_length_b 5.580
_cell_length_c 3.904
_cell_angle_alpha 90.00
_cell_angle_beta 90.00
_cell_angle_gamma 90.00
loop_
_atom_site_label
_atom_site_fract_x
_atom_site_fract_y
_atom_site_fract_z
Sb1 0.000 0.000 0.000
As1 0.500 0.500 0.000
H1 0.000 0.000 0.500
I1 0.000 0.500 0.500
```

Output
The crystal system is tetragonal. For the total magnetization, the calculation gives 0.00 μB/cell. Its energy above the most stable polymorph in this dataset is 0.000 eV/atom. The energy comes out at -2.416 eV per atom.